A plane-wave DFT calculation with GGA-PBE was carried out for a relaxed structure of K3NpBr6Cl2.

## Properties
The uncorrected formation energy is -139.1 kJ/mol of atoms. The value obtained for the raw total energy is -3.938 eV/atom. The total moment is 1.78 μB per formula unit. As for the space group: C2/m. As for the crystal system: monoclinic.

CIF file:
```
data_K3NpBr6Cl2
_cell_length_a 6.789
_cell_length_b 9.299
_cell_length_c 9.782
_cell_angle_alpha 118.38
_cell_angle_beta 102.78
_cell_angle_gamma 90.00
_space_group_name_H-M_alt 'P 1'
_space_group_IT_number 1
loop_
_space_group_symop_operation_xyz
'x,y,z'
loop_
_atom_site_label
_atom_site_fract_x
_atom_site_fract_y
_atom_site_fract_z
K1 0.500 0.000 0.500
Br1 0.735 0.881 0.173
Br2 0.735 0.292 0.173
K2 0.000 0.500 0.000
Br3 0.263 0.104 0.209
Br4 0.737 0.896 0.791
Cl1 0.272 0.664 0.328
Br5 0.265 0.708 0.827
Br6 0.265 0.119 0.827
K3 0.500 0.500 0.500
Cl2 0.728 0.336 0.672
Np1 0.500 0.000 0.000
```

A plane-wave DFT calculation with GGA-PBE was carried out for a relaxed structure of Fe2RhAuN.

## Properties
The uncorrected formation energy is 2.2 kJ/mol of atoms. The value obtained for the raw total energy is -7.153 eV/atom. The total moment is 5.53 μB per formula unit. As for the space group: P4/mmm. As for the crystal system: tetragonal.

CIF file:
```
data_Fe2RhAuN
_cell_length_a 3.906
_cell_length_b 3.906
_cell_length_c 4.121
_cell_angle_alpha 90.00
_cell_angle_beta 90.00
_cell_angle_gamma 90.00
_space_group_name_H-M_alt 'P 1'
_space_group_IT_number 1
loop_
_space_group_symop_operation_xyz
'x,y,z'
loop_
_atom_site_label
_atom_site_fract_x
_atom_site_fract_y
_atom_site_fract_z
Au1 0.500 0.500 0.500
Fe1 0.000 0.500 0.000
N1 0.000 0.000 0.000
Fe2 0.500 0.000 0.000
Rh1 0.000 0.000 0.500
```

A plane-wave DFT calculation with GGA-PBE was carried out for a relaxed structure of CuHgSb2Ru.

## Properties
The uncorrected formation energy is 57.4 kJ/mol of atoms. The value obtained for the raw total energy is -3.789 eV/atom. The total moment is 0.00 μB per formula unit. As for the space group: P4/mmm. As for the crystal system: tetragonal.

CIF file:
```
data_CuHgSb2Ru
_cell_length_a 5.030
_cell_length_b 5.290
_cell_length_c 5.030
_cell_angle_alpha 90.00
_cell_angle_beta 90.00
_cell_angle_gamma 90.00
_space_group_name_H-M_alt 'P 1'
_space_group_IT_number 1
loop_
_space_group_symop_operation_xyz
'x,y,z'
loop_
_atom_site_label
_atom_site_fract_x
_atom_site_fract_y
_atom_site_fract_z
Ru1 0.000 0.000 0.000
Cu1 0.500 0.500 0.500
Sb1 0.500 0.000 0.000
Sb2 0.000 0.000 0.500
Hg1 0.000 0.500 0.000
```

A plane-wave DFT calculation with GGA-PBE was carried out for a relaxed structure of Be2CrFe.

## Properties
The calculation puts the energy above the most stable polymorph in this dataset at 166 meV/atom. The value obtained for the raw total energy is -6.365 eV/atom. The total moment is 0.80 μB per formula unit. The value obtained for the formation energy is 0.020 eV per atom. As for the space group: Cm. As for the crystal system: monoclinic.

CIF file:
```
data_Be2CrFe
_cell_length_a 4.066
_cell_length_b 4.066
_cell_length_c 4.135
_cell_angle_alpha 80.90
_cell_angle_beta 80.90
_cell_angle_gamma 34.93
_space_group_name_H-M_alt 'P 1'
_space_group_IT_number 1
loop_
_space_group_symop_operation_xyz
'x,y,z'
loop_
_atom_site_label
_atom_site_fract_x
_atom_site_fract_y
_atom_site_fract_z
Be1 0.001 0.001 0.018
Fe1 0.743 0.743 0.744
Be2 0.255 0.255 0.225
Cr1 0.501 0.501 0.513
```

Question: The highest raw total energy belongs to which entry?
Answer: CuHgSb2Ru